(1)
Here is crystalline Be3HgAs at its relaxed geometry from Alexandria. Energies are from GGA-PBE.

Cell: 4.3534 4.3534 4.3534 Å, 90.00 90.00 90.00°
Fractional positions:
Be: 0.0000 0.0000 0.5000
Be: 0.0000 0.5000 0.0000
Be: 0.5000 0.0000 0.0000
Hg: 0.5000 0.5000 0.5000
As: 0.0000 0.0000 0.0000

Results
Offset from the most stable computed form (eV per formula unit): 0.000
Calculated formation energy (eV per atom): 0.79
Energy (eV per formula unit): -12.19
Total magnetic moment (μB per atom): 0.000
DOS at the Fermi energy (states/eV per atom): 0.56
SG: Pm-3m, No. 221

***

(2)
Here is crystalline AgCl2 at its relaxed geometry from Alexandria. Energies are from GGA-PBE.

Cell: 4.4704 4.4704 10.9218 Å, 102.92 102.92 57.05°
Fractional positions:
Ag: 0.0000 0.0000 0.0000
Ag: 0.1922 0.1922 0.7210
Cl: 0.4287 0.4287 0.2825
Cl: 0.6094 0.6094 0.4505
Cl: 0.6799 0.6799 0.0067
Cl: 0.8677 0.8677 0.7110

Results
Formation energy without anion corrections (eV per formula unit): -0.8
Energy (eV per formula unit): -7.31
Total magnetic moment (μB per atom): 0.000
SG: Cm, No. 8

***

(3)
Here is crystalline ThAgHgN at its relaxed geometry from Alexandria. Energies are from GGA-PBE.

Cell: 4.1525 4.1525 10.1558 Å, 90.00 90.00 90.00°
Fractional positions:
Th: 0.2500 0.2500 0.1103
Th: 0.7500 0.7500 0.8897
Ag: 0.2500 0.7500 0.5000
Ag: 0.7500 0.2500 0.5000
Hg: 0.2500 0.2500 0.7000
Hg: 0.7500 0.7500 0.3000
N: 0.2500 0.7500 0.0000
N: 0.7500 0.2500 0.0000

Results
Formation energy without anion corrections (eV per formula unit): -3.4
Energy (eV per formula unit): -22.27
Total magnetic moment (μB per atom): 0.000
DOS at the Fermi energy (states/eV per atom): 0.14
SG: P4/nmm, No. 129

***

(4)
Here is crystalline Er4Cd3Pd at its relaxed geometry from Alexandria. Energies are from GGA-PBE.

Cell: 3.6258 3.6258 14.8005 Å, 90.00 90.00 90.00°
Fractional positions:
Er: 0.0000 0.0000 0.1108
Er: 0.0000 0.0000 0.3704
Er: 0.0000 0.0000 0.6296
Er: 0.0000 0.0000 0.8892
Cd: 0.5000 0.5000 0.2436
Cd: 0.5000 0.5000 0.5000
Cd: 0.5000 0.5000 0.7564
Pd: 0.5000 0.5000 0.0000

Results
Calculated formation energy (eV per atom): -0.47
Energy (eV per formula unit): -29.91
Total magnetic moment (μB per atom): 0.000
DOS at the Fermi energy (states/eV per atom): 0.81
SG: P4/mmm, No. 123

***

(5)
Here is crystalline RbBaSr2Zn at its relaxed geometry from Alexandria. Energies are from GGA-PBE.

Cell: 6.4795 6.4795 6.6050 Å, 90.00 90.00 90.00°
Fractional positions:
Rb: 0.0000 0.0000 0.0000
Ba: 0.5000 0.5000 0.0000
Sr: 0.0000 0.5000 0.5000
Sr: 0.5000 0.0000 0.5000
Zn: 0.5000 0.5000 0.5000

Results
Offset from the most stable computed form (eV per formula unit): 0.000
Calculated formation energy (eV per atom): 0.01
Energy (eV per formula unit): -7.46
Total magnetic moment (μB per atom): 0.000
DOS at the Fermi energy (states/eV per atom): 1.01
SG: P4/mmm, No. 123

***

(6)
Here is crystalline Ir3Cl at its relaxed geometry from Alexandria. Energies are from GGA-PBE.

Cell: 3.4126 5.1522 10.7259 Å, 90.00 90.00 90.00°
Fractional positions:
Ir: 0.2500 0.0087 0.0847
Ir: 0.2500 0.2500 0.7798
Ir: 0.2500 0.4913 0.0847
Ir: 0.7500 0.5087 0.9153
Ir: 0.7500 0.7500 0.2202
Ir: 0.7500 0.9913 0.9153
Cl: 0.2500 0.7500 0.3767
Cl: 0.7500 0.2500 0.6233

Results
Offset from the most stable computed form (eV per formula unit): 0.000
Formation energy without anion corrections (eV per formula unit): 1.9
Energy (eV per formula unit): -26.56
Total magnetic moment (μB per atom): 0.000
DOS at the Fermi energy (states/eV per atom): 0.95
SG: Pmmn, No. 59